(1)
# Ac5Cu2Pb

A relaxed structure of Ac5Cu2Pb (PBE, Alexandria via LeMat-Bulk).

Lattice parameters (Å, degrees): 8.7341 8.7341 9.4439 117.54 117.54 90.00
Closest atoms and distances in Å follow each position.
Element x y z (fractional)
Cu 0.6313 0.1313 0.0000  8 Ac 3.22-3.42, 1 Cu 3.24
Cu 0.1313 0.3687 0.0000  8 Ac 3.22-3.42, 1 Cu 3.24
Ac 0.5146 0.7042 0.7188  3 Cu 3.22-3.31
Ac 0.0146 0.5146 0.7188  3 Cu 3.22-3.31
Cu 0.3687 0.8687 0.0000  8 Ac 3.22-3.42, 1 Cu 3.24
Ac 0.5000 0.5000 0.0000  4 Cu 3.42, 2 Pb 3.57
Pb 0.7500 0.7500 0.5000  10 Ac 3.57-3.65
Ac 0.7042 0.2042 0.7188  3 Cu 3.22-3.31
Pb 0.2500 0.2500 0.5000  10 Ac 3.57-3.65
Ac 0.7958 0.9854 0.2812  3 Cu 3.22-3.31
Ac 0.4854 0.2958 0.2812  3 Cu 3.22-3.31
Ac 0.0000 0.0000 0.0000  4 Cu 3.42, 2 Pb 3.57
Ac 0.9854 0.4854 0.2812  3 Cu 3.22-3.31
Ac 0.2042 0.0146 0.7188  3 Cu 3.22-3.31
Ac 0.2958 0.7958 0.2812  3 Cu 3.22-3.31
Cu 0.8687 0.6313 0.0000  8 Ac 3.22-3.42, 1 Cu 3.24

Computed properties:
Formation energy ... -0.197 eV per atom
Crystal system ... tetragonal
Symmetry ... No. 140

(2)
# AcCuPb2

A relaxed structure of AcCuPb2 (PBE, Alexandria via LeMat-Bulk).

Lattice parameters (Å, degrees): 4.9624 4.8293 4.8293 90.00 90.00 90.00
Closest atoms and distances in Å follow each position.
Element x y z (fractional)
Cu 0.5000 0.0000 0.0000  4 Ac 3.41, 8 Pb 3.46
Pb 0.0000 0.5000 0.0000  4 Pb 3.41, 4 Ac 3.46, 4 Cu 3.46
Pb 0.0000 0.0000 0.5000  4 Pb 3.41, 4 Ac 3.46, 4 Cu 3.46
Ac 0.5000 0.5000 0.5000  4 Cu 3.41, 8 Pb 3.46

Computed properties:
Formation energy ... -0.149 eV per atom
Excess energy over the best structure of this formula in the dataset ... 0.0000 eV per atom
Crystal system ... tetragonal
Symmetry ... No. 123

(3)
# Ac2Cu2Pb

A relaxed structure of Ac2Cu2Pb (PBE, Alexandria via LeMat-Bulk).

Lattice parameters (Å, degrees): 4.0981 4.5452 7.7892 106.96 90.00 90.00
Closest atoms and distances in Å follow each position.
Element x y z (fractional)
Ac 0.5000 0.6312 0.2624  6 Cu 3.16-3.27
Pb 0.0000 0.0000 0.0000  2 Cu 3.09
Ac 0.5000 0.3688 0.7376  6 Cu 3.16-3.27
Cu 0.0000 0.7923 0.5847  2 Cu 2.60
Cu 0.0000 0.2077 0.4153  2 Cu 2.60

Computed properties:
Formation energy ... -0.319 eV per atom
Excess energy over the best structure of this formula in the dataset ... 0.0000 eV per atom
Crystal system ... orthorhombic
Symmetry ... No. 65

(4)
# Ac2CuPd4Pb2

A relaxed structure of Ac2CuPd4Pb2 (PBE, Alexandria via LeMat-Bulk).

Lattice parameters (Å, degrees): 6.5621 6.5621 6.5621 98.80 115.06 115.06
Closest atoms and distances in Å follow each position.
Element x y z (fractional)
Ac 0.5000 0.2500 0.7500  8 Pd 3.28, 4 Pb 3.56
Pd 0.5187 0.2593 0.2593  1 Cu 2.58
Pd 0.0000 0.2593 0.7407  1 Cu 2.58
Pd 0.0000 0.7407 0.2593  1 Cu 2.58
Ac 0.5000 0.7500 0.2500  8 Pd 3.28, 4 Pb 3.56
Pd 0.4813 0.7407 0.7407  1 Cu 2.58
Pb 0.0000 0.6919 0.6919  1 Cu 2.63, 4 Pd 2.90
Pb 0.0000 0.3081 0.3081  1 Cu 2.63, 4 Pd 2.90
Cu 0.0000 0.0000 0.0000  4 Pd 2.58, 2 Pb 2.63

Computed properties:
Formation energy ... -0.459 eV per atom
Crystal system ... tetragonal
Symmetry ... No. 139